## Sc2Cu2Os (GGA-PBE)

Data for crystalline Sc2Cu2Os at its relaxed geometry.

The space group is P4/mbm (No. 127) and the conventional cell measures 6.755, 6.755 and 3.583 Å, with angles of 90.00, 90.00 and 90.00 degrees. The distinct sites, in fractional coordinates, are Sc at (0.188, 0.312, 0.000), Cu at (0.122, 0.622, 0.500) and Os at (0.000, 0.000, 0.500).

The value obtained for the uncorrected energy is -65.28 eV/cell. For the volume, the calculation gives 16.35 Å³/atom. The formation energy from the elements comes out at -10.7 kJ/mol of atoms. For the density of states at the Fermi level, the calculation gives 4.57 states/eV/f.u.



## Sc6Cu5Os (GGA-PBE)

Data for crystalline Sc6Cu5Os at its relaxed geometry.

The space group is Immm (No. 71) and the conventional cell measures 4.607, 6.488 and 13.842 Å, with angles of 90.00, 90.00 and 90.00 degrees. The distinct sites, in fractional coordinates, are Sc at (0.000, 0.244, 0.000), Sc at (0.000, 0.253, 0.336), Cu at (0.000, 0.000, 0.165), Cu at (0.000, 0.000, 0.500), Cu at (0.000, 0.500, 0.165) and Os at (0.000, 0.500, 0.500).

The value obtained for the uncorrected energy is -147.21 eV/cell. For the volume, the calculation gives 17.24 Å³/atom. The formation energy from the elements comes out at -31.4 kJ/mol of atoms. For the density of states at the Fermi level, the calculation gives 9.71 states/eV/f.u.



## Sc8CuOs2 (GGA-PBE)

Data for crystalline Sc8CuOs2 at its relaxed geometry.

The space group is C2/m (No. 12) and the conventional cell measures 16.225, 4.545 and 6.518 Å, with angles of 90.00, 108.90 and 90.00 degrees. The distinct sites, in fractional coordinates, are Sc at (0.028, 0.000, 0.278), Sc at (0.099, 0.500, 0.962), Sc at (0.168, 0.500, 0.453), Sc at (0.202, 0.000, 0.803), Cu at (0.000, 0.500, 0.500) and Os at (0.182, 0.000, 0.194).

The value obtained for the uncorrected energy is -160.09 eV/cell. For the volume, the calculation gives 20.67 Å³/atom. The formation energy from the elements comes out at -24.9 kJ/mol of atoms. For the density of states at the Fermi level, the calculation gives 14.83 states/eV/f.u.



## ScCu3Os (GGA-PBE)

Data for crystalline ScCu3Os at its relaxed geometry.

The space group is Pm-3m (No. 221) and the conventional cell measures 4.598, 4.598 and 4.598 Å, with angles of 90.00, 90.00 and 90.00 degrees. The distinct sites, in fractional coordinates, are Sc at (0.000, 0.000, 0.000), Cu at (0.000, 0.500, 0.500) and Os at (0.500, 0.500, 0.500).

The value obtained for the uncorrected energy is -25.52 eV/cell. For the volume, the calculation gives 19.44 Å³/atom. The formation energy from the elements comes out at 83.5 kJ/mol of atoms. For the density of states at the Fermi level, the calculation gives 4.44 states/eV/f.u.



## Sc3CuOs (GGA-PBE)

Data for crystalline Sc3CuOs at its relaxed geometry.

The space group is Pm-3m (No. 221) and the conventional cell measures 4.739, 4.739 and 4.739 Å, with angles of 90.00, 90.00 and 90.00 degrees. The distinct sites, in fractional coordinates, are Sc at (0.000, 0.000, 0.500), Cu at (0.000, 0.000, 0.000) and Os at (0.500, 0.500, 0.500).

The value obtained for the uncorrected energy is -31.30 eV/cell. For the volume, the calculation gives 21.29 Å³/atom. The formation energy from the elements comes out at 58.4 kJ/mol of atoms. For the density of states at the Fermi level, the calculation gives 5.03 states/eV/f.u.



## Sc3Cu2Os (GGA-PBE)

Data for crystalline Sc3Cu2Os at its relaxed geometry.

The space group is P-3m1 (No. 164) and the conventional cell measures 4.5878, 4.5878 and 11.2359 Å, with angles of 90.00, 90.00 and 120.00 degrees. The distinct sites, in fractional coordinates, are Sc at (0.0000, 0.0000, 0.2453), Sc at (0.3333, 0.6667, 0.4113), Sc at (0.3333, 0.6667, 0.9175), Cu at (0.0000, 0.0000, 0.0000), Cu at (0.0000, 0.0000, 0.5000), Cu at (0.3333, 0.6667, 0.6701) and Os at (0.3333, 0.6667, 0.1678).

The value obtained for the uncorrected energy is -81.27 eV/cell. For the volume, the calculation gives 17.07 Å³/atom. The formation energy from the elements comes out at -35.7 kJ/mol of atoms. For the density of states at the Fermi level, the calculation gives 3.95 states/eV/f.u.



## Sc5Cu4Os (GGA-PBE)

Data for crystalline Sc5Cu4Os at its relaxed geometry.

The space group is P4/mmm (No. 123) and the conventional cell measures 3.244, 3.244 and 16.346 Å, with angles of 90.00, 90.00 and 90.00 degrees. The distinct sites, in fractional coordinates, are Sc at (0.000, 0.000, 0.000), Sc at (0.000, 0.000, 0.202), Sc at (0.000, 0.000, 0.405), Cu at (0.500, 0.500, 0.100), Cu at (0.500, 0.500, 0.300) and Os at (0.500, 0.500, 0.500).

The value obtained for the uncorrected energy is -62.57 eV/cell. For the volume, the calculation gives 17.20 Å³/atom. The formation energy from the elements comes out at -31.9 kJ/mol of atoms. For the density of states at the Fermi level, the calculation gives 6.08 states/eV/f.u.



## Sc4Cu3Os (GGA-PBE)

Data for crystalline Sc4Cu3Os at its relaxed geometry.

The space group is P4/mmm (No. 123) and the conventional cell measures 4.579, 4.579 and 6.545 Å, with angles of 90.00, 90.00 and 90.00 degrees. The distinct sites, in fractional coordinates, are Sc at (0.000, 0.500, 0.243), Cu at (0.000, 0.000, 0.000), Cu at (0.000, 0.000, 0.500), Cu at (0.500, 0.500, 0.500) and Os at (0.500, 0.500, 0.000).

The value obtained for the uncorrected energy is -51.61 eV/cell. For the volume, the calculation gives 17.15 Å³/atom. The formation energy from the elements comes out at -33.3 kJ/mol of atoms. For the density of states at the Fermi level, the calculation gives 6.59 states/eV/f.u.